Compound: MgBiH2Pd5
Source: Alexandria via LeMat-Bulk
Functional: PBE
Structure: relaxed

Cell lengths 4.079, 4.079, 7.820 Å; angles 90.00, 90.00, 90.00 degrees
Space group P4/mmm (No. 123)
Inequivalent atoms, fractional coordinates:
Mg 0.000 0.000 0.000 [1 per cell]
Bi 0.000 0.000 0.500 [1 per cell]
H 0.500 0.500 0.233 [2 per cell]
Pd 0.000 0.500 0.225 [4 per cell]
Pd 0.500 0.500 0.500 [1 per cell]

Results
The calculation puts the total energy at -4.480 eV per atom.